DFT (GGA-PBE) results for a relaxed AlCo3P crystal.

Unit cell a=4.243 b=4.243 c=4.243 alpha=90.00 beta=90.00 gamma=90.00
Element x y z (fractional)
Al  0.000  0.000  0.000
Co  0.000  0.000  0.500
Co  0.000  0.500  0.000
Co  0.500  0.000  0.000
P  0.500  0.500  0.500

## Properties
Excess energy over the best structure of this formula in the dataset: 1.0934 eV/atom
Density: 5.103 g/cm3
Energy relative to the elements: 1.1425 eV/atom

=====

DFT (GGA-PBE) results for a relaxed SbP2Os crystal.

Unit cell a=4.231 b=4.231 c=5.736 alpha=99.26 beta=99.26 gamma=50.26
Element x y z (fractional)
Sb  0.000  0.000  0.000
P  0.585  0.585  0.635
P  0.749  0.749  0.368
Os  0.290  0.290  0.680

## Properties
Density: 7.992 g/cm3
Uncorrected formation energy: 10 kJ per mole of atoms

=====

DFT (GGA-PBE) results for a relaxed YMnOs2 crystal.

Unit cell a=2.931 b=4.284 c=5.555 alpha=90.00 beta=105.17 gamma=90.00
Element x y z (fractional)
Y  0.000  0.000  0.000
Mn  0.627  0.500  0.254
Os  0.323  0.500  0.650
Os  0.741  0.000  0.487

## Properties
Excess energy over the best structure of this formula in the dataset: 0.1635 eV/atom
Density: 12.933 g/cm3
Energy relative to the elements: 0.3017 eV/atom

=====

DFT (GGA-PBE) results for a relaxed MgCu2Se3 crystal.

Unit cell a=7.569 b=7.569 c=5.052 alpha=90.00 beta=90.00 gamma=117.20
Element x y z (fractional)
Mg  0.247  0.753  0.750
Mg  0.753  0.247  0.250
Cu  0.306  0.306  0.000
Cu  0.306  0.306  0.500
Cu  0.694  0.694  0.000
Cu  0.694  0.694  0.500
Se  0.060  0.354  0.750
Se  0.354  0.060  0.250
Se  0.388  0.612  0.250
Se  0.612  0.388  0.750
Se  0.646  0.940  0.750
Se  0.940  0.646  0.250

## Properties
Density: 5.010 g/cm3
Uncorrected formation energy: -27 kJ per mole of atoms

=====

DFT (GGA-PBE) results for a relaxed TmZn3Ag3 crystal.

Unit cell a=6.959 b=6.959 c=6.959 alpha=90.00 beta=90.00 gamma=90.00
Element x y z (fractional)
Tm  0.000  0.000  0.000
Tm  0.500  0.500  0.500
Zn  0.000  0.250  0.500
Zn  0.000  0.750  0.500
Zn  0.250  0.500  0.000
Zn  0.500  0.000  0.250
Zn  0.500  0.000  0.750
Zn  0.750  0.500  0.000
Ag  0.000  0.500  0.250
Ag  0.000  0.500  0.750
Ag  0.250  0.000  0.500
Ag  0.500  0.250  0.000
Ag  0.500  0.750  0.000
Ag  0.750  0.000  0.500

## Properties
Excess energy over the best structure of this formula in the dataset: 0.0000 eV/atom
Density: 6.789 g/cm3
Energy relative to the elements: 0.4093 eV/atom

=====

DFT (GGA-PBE) results for a relaxed Sc2ZnI crystal.

Unit cell a=8.036 b=8.036 c=8.036 alpha=134.94 beta=134.94 gamma=65.63
Element x y z (fractional)
Sc  0.070  0.625  0.945
Sc  0.375  0.320  0.445
Sc  0.680  0.125  0.055
Sc  0.875  0.930  0.555
Zn  0.000  0.000  0.000
Zn  0.750  0.250  0.500
I  0.250  0.750  0.500
I  0.500  0.500  0.000

## Properties
Excess energy over the best structure of this formula in the dataset: 0.3673 eV/atom
Density: 3.658 g/cm3
Uncorrected formation energy: 16 kJ per mole of atoms

=====

DFT (GGA-PBE) results for a relaxed LiSiIr crystal.

Unit cell a=6.705 b=6.460 c=2.747 alpha=82.99 beta=73.01 gamma=23.99
Element x y z (fractional)
Li  0.000  0.000  0.000
Si  0.673  0.673  0.327
Ir  0.325  0.325  0.675

## Properties
Density: 8.790 g/cm3
Uncorrected formation energy: -12 kJ per mole of atoms

=====

DFT (GGA-PBE) results for a relaxed Li2CeEr2Pb2 crystal.

Unit cell a=9.337 b=9.337 c=9.337 alpha=30.36 beta=30.36 gamma=30.36
Element x y z (fractional)
Li  0.084  0.084  0.084
Li  0.916  0.916  0.916
Ce  0.500  0.500  0.500
Er  0.369  0.369  0.369
Er  0.631  0.631  0.631
Pb  0.239  0.239  0.239
Pb  0.761  0.761  0.761

## Properties
Density: 8.135 g/cm3
Energy relative to the elements: -0.2650 eV/atom

=====

DFT (GGA-PBE) results for a relaxed SrTiCdAg2 crystal.

Unit cell a=5.257 b=5.257 c=5.255 alpha=90.00 beta=90.00 gamma=90.00
Element x y z (fractional)
Sr  0.000  0.000  0.000
Ti  0.500  0.500  0.000
Cd  0.500  0.500  0.500
Ag  0.000  0.500  0.500
Ag  0.500  0.000  0.500

## Properties
Density: 5.302 g/cm3
Energy relative to the elements: 0.4623 eV/atom

=====

DFT (GGA-PBE) results for a relaxed La2Dy7Y4 crystal.

Unit cell a=6.111 b=6.111 c=13.337 alpha=90.00 beta=90.00 gamma=120.00
Element x y z (fractional)
La  0.333  0.667  0.000
La  0.667  0.333  0.000
Dy  0.000  0.000  0.000
Dy  0.000  0.357  0.783
Dy  0.000  0.643  0.217
Dy  0.357  0.000  0.783
Dy  0.357  0.357  0.217
Dy  0.643  0.000  0.217
Dy  0.643  0.643  0.783
Y  0.000  0.000  0.395
Y  0.000  0.000  0.605
Y  0.333  0.667  0.500
Y  0.667  0.333  0.500

## Properties
Density: 6.818 g/cm3
Energy relative to the elements: 0.1810 eV/atom

=====

DFT (GGA-PBE) results for a relaxed NpSc3N4 crystal.

Unit cell a=5.638 b=5.638 c=3.265 alpha=90.00 beta=90.00 gamma=108.76
Element x y z (fractional)
Np  0.000  0.000  0.000
Sc  0.000  0.500  0.500
Sc  0.500  0.000  0.500
Sc  0.500  0.500  0.000
N  0.247  0.753  0.000
N  0.257  0.257  0.500
N  0.743  0.743  0.500
N  0.753  0.247  0.000

## Properties
Density: 7.229 g/cm3
Uncorrected formation energy: -162 kJ per mole of atoms

=====

DFT (GGA-PBE) results for a relaxed CrHg2Os crystal.

Unit cell a=5.041 b=5.041 c=5.041 alpha=131.82 beta=131.82 gamma=70.52
Element x y z (fractional)
Cr  0.000  0.000  0.000
Hg  0.250  0.750  0.500
Hg  0.500  0.500  0.000
Os  0.750  0.250  0.500

## Properties
Excess energy over the best structure of this formula in the dataset: 0.4198 eV/atom
Density: 15.325 g/cm3
Energy relative to the elements: 0.7883 eV/atom

=====

DFT (GGA-PBE) results for a relaxed ZrSiSb2I crystal.

Unit cell a=5.631 b=5.631 c=5.538 alpha=90.00 beta=90.00 gamma=90.00
Element x y z (fractional)
Zr  0.000  0.000  0.000
Si  0.500  0.500  0.500
Sb  0.000  0.500  0.000
Sb  0.500  0.000  0.000
I  0.000  0.000  0.500

## Properties
Excess energy over the best structure of this formula in the dataset: 0.0000 eV/atom
Density: 4.631 g/cm3
Uncorrected formation energy: 60 kJ per mole of atoms

=====

DFT (GGA-PBE) results for a relaxed Dy2YCu3 crystal.

Unit cell a=3.466 b=3.466 c=10.445 alpha=90.00 beta=90.00 gamma=90.00
Element x y z (fractional)
Dy  0.000  0.000  0.166
Dy  0.000  0.000  0.834
Y  0.000  0.000  0.500
Cu  0.500  0.500  0.000
Cu  0.500  0.500  0.331
Cu  0.500  0.500  0.669

## Properties
Density: 7.999 g/cm3
Energy relative to the elements: -0.2525 eV/atom

=====

DFT (GGA-PBE) results for a relaxed SmUIr2 crystal.

Unit cell a=5.781 b=4.173 c=7.649 alpha=90.00 beta=109.27 gamma=90.00
Element x y z (fractional)
Sm  0.225  0.250  0.434
Sm  0.775  0.750  0.566
U  0.215  0.250  0.926
U  0.785  0.750  0.074
Ir  0.295  0.750  0.172
Ir  0.328  0.750  0.739
Ir  0.672  0.250  0.261
Ir  0.705  0.250  0.828

## Properties
Density: 14.732 g/cm3
Energy relative to the elements: -0.6573 eV/atom

=====

DFT (GGA-PBE) results for a relaxed CoNiW3 crystal.

Unit cell a=4.434 b=4.434 c=4.434 alpha=90.00 beta=90.00 gamma=90.00
Element x y z (fractional)
Co  0.000  0.000  0.000
Ni  0.500  0.500  0.500
W  0.000  0.500  0.500
W  0.500  0.000  0.500
W  0.500  0.500  0.000

## Properties
Excess energy over the best structure of this formula in the dataset: 0.2186 eV/atom
Density: 12.747 g/cm3
Energy relative to the elements: 1.7637 eV/atom

=====

DFT (GGA-PBE) results for a relaxed La6GaOs crystal.

Unit cell a=6.712 b=6.712 c=6.906 alpha=98.35 beta=98.35 gamma=109.85
Element x y z (fractional)
La  0.004  0.654  0.724
La  0.286  0.286  0.826
La  0.346  0.996  0.276
La  0.654  0.004  0.724
La  0.714  0.714  0.174
La  0.996  0.346  0.276
Ga  0.500  0.500  0.500
Os  0.000  0.000  0.000

## Properties
Density: 6.412 g/cm3
Energy relative to the elements: -0.0920 eV/atom

=====

DFT (GGA-PBE) results for a relaxed AlMoBr2 crystal.

Unit cell a=6.461 b=6.461 c=6.461 alpha=150.66 beta=105.57 gamma=81.95
Element x y z (fractional)
Al  0.000  0.000  0.000
Mo  0.222  0.722  0.500
Br  0.422  0.422  0.000
Br  0.798  0.298  0.500

## Properties
Excess energy over the best structure of this formula in the dataset: 0.5162 eV/atom
Density: 3.763 g/cm3
Uncorrected formation energy: 30 kJ per mole of atoms

=====

DFT (GGA-PBE) results for a relaxed Mg2NpGa4 crystal.

Unit cell a=10.193 b=10.193 c=10.193 alpha=162.99 beta=154.27 gamma=31.00
Element x y z (fractional)
Mg  0.206  0.206  0.000
Mg  0.794  0.794  0.000
Np  0.500  0.000  0.500
Ga  0.074  0.574  0.500
Ga  0.352  0.352  0.000
Ga  0.648  0.648  0.000
Ga  0.926  0.426  0.500

## Properties
Density: 6.975 g/cm3
Energy relative to the elements: -0.1501 eV/atom

=====

DFT (GGA-PBE) results for a relaxed TaBeSe2 crystal.

Unit cell a=7.480 b=7.480 c=7.480 alpha=154.30 beta=154.09 gamma=36.81
Element x y z (fractional)
Ta  0.000  0.000  0.000
Be  0.368  0.868  0.500
Se  0.590  0.590  0.000
Se  0.850  0.350  0.500

## Properties
Density: 7.298 g/cm3
Uncorrected formation energy: -37 kJ per mole of atoms

=====

DFT (GGA-PBE) results for a relaxed Ce2Ni5C3 crystal.

Unit cell a=8.285 b=8.285 c=3.900 alpha=90.00 beta=90.00 gamma=90.00
Element x y z (fractional)
Ce  0.157  0.343  0.000
Ce  0.343  0.843  0.000
Ce  0.657  0.157  0.000
Ce  0.843  0.657  0.000
Ni  0.000  0.000  0.000
Ni  0.077  0.788  0.500
Ni  0.212  0.077  0.500
Ni  0.288  0.577  0.500
Ni  0.423  0.288  0.500
Ni  0.500  0.500  0.000
Ni  0.577  0.712  0.500
Ni  0.712  0.423  0.500
Ni  0.788  0.923  0.500
Ni  0.923  0.212  0.500
C  0.000  0.000  0.500
C  0.058  0.558  0.500
C  0.442  0.058  0.500
C  0.500  0.500  0.500
C  0.558  0.942  0.500
C  0.942  0.442  0.500

## Properties
Density: 7.564 g/cm3
Energy relative to the elements: -0.2668 eV/atom

=====

DFT (GGA-PBE) results for a relaxed Be2Nb2Zn crystal.

Unit cell a=6.147 b=6.147 c=3.538 alpha=90.00 beta=90.00 gamma=90.00
Element x y z (fractional)
Be  0.119  0.381  0.000
Be  0.381  0.881  0.000
Be  0.619  0.119  0.000
Be  0.881  0.619  0.000
Nb  0.177  0.677  0.500
Nb  0.323  0.177  0.500
Nb  0.677  0.823  0.500
Nb  0.823  0.323  0.500
Zn  0.000  0.000  0.000
Zn  0.500  0.500  0.000

## Properties
Excess energy over the best structure of this formula in the dataset: 0.0183 eV/atom
Density: 6.689 g/cm3
Energy relative to the elements: -0.1406 eV/atom

=====

DFT (GGA-PBE) results for a relaxed YEr3Tl3Se8 crystal.

Unit cell a=9.019 b=9.019 c=9.019 alpha=54.60 beta=54.60 gamma=54.60
Element x y z (fractional)
Y  0.000  0.000  0.000
Er  0.000  0.500  0.500
Er  0.500  0.000  0.500
Er  0.500  0.500  0.000
Tl  0.000  0.000  0.500
Tl  0.000  0.500  0.000
Tl  0.500  0.000  0.000
Se  0.237  0.237  0.732
Se  0.237  0.732  0.237
Se  0.265  0.265  0.265
Se  0.268  0.763  0.763
Se  0.732  0.237  0.237
Se  0.735  0.735  0.735
Se  0.763  0.268  0.763
Se  0.763  0.763  0.268

## Properties
Density: 6.722 g/cm3
Uncorrected formation energy: -134 kJ per mole of atoms

=====

DFT (GGA-PBE) results for a relaxed NaLi3In crystal.

Unit cell a=5.283 b=5.283 c=5.283 alpha=90.00 beta=90.00 gamma=90.00
Element x y z (fractional)
Na  0.000  0.000  0.000
Li  0.000  0.500  0.500
Li  0.500  0.000  0.500
Li  0.500  0.500  0.000
In  0.500  0.500  0.500

## Properties
Excess energy over the best structure of this formula in the dataset: 0.0000 eV/atom
Density: 1.786 g/cm3
Energy relative to the elements: 0.0787 eV/atom

=====

DFT (GGA-PBE) results for a relaxed CrRh3 crystal.

Unit cell a=4.661 b=4.661 c=4.639 alpha=100.34 beta=100.34 gamma=33.85
Element x y z (fractional)
Cr  0.000  0.000  0.000
Rh  0.255  0.255  0.757
Rh  0.500  0.500  0.500
Rh  0.745  0.745  0.243

## Properties
Density: 10.862 g/cm3
Energy relative to the elements: -0.0341 eV/atom